Below is a relaxed structure of SnGe2C, with properties calculated at the PBE level. Values from VASP.

The structure in Quantum ESPRESSO input format:
```
&SYSTEM
  ibrav = 0, nat = 4, ntyp = 3
/
ATOMIC_SPECIES
Sn 118.71 Sn.upf
Ge 72.64 Ge.upf
C 12.01 C.upf
CELL_PARAMETERS angstrom
0.0000 3.3251 3.3251
3.3251 0.0000 3.3251
3.3251 3.3251 0.0000
ATOMIC_POSITIONS angstrom
Sn 0.0000 0.0000 0.0000
Ge 1.6625 1.6625 1.6625
Ge 4.9876 4.9876 4.9876
C 3.3251 3.3251 3.3251
```

The value obtained for the density of states at the Fermi level is 3.0 states/eV/cell. The energy of formation is 1.49 eV per atom. The calculation puts the total magnetic moment at 0.00 Bohr magnetons per cell.

Below is a relaxed structure of Sn2GeC, with properties calculated at the PBE level. Values from VASP.

The structure in Quantum ESPRESSO input format:
```
&SYSTEM
  ibrav = 0, nat = 4, ntyp = 3
/
ATOMIC_SPECIES
Sn 118.71 Sn.upf
Ge 72.64 Ge.upf
C 12.01 C.upf
CELL_PARAMETERS angstrom
0.0000 3.3947 3.3947
3.3947 0.0000 3.3947
3.3947 3.3947 0.0000
ATOMIC_POSITIONS angstrom
Sn 1.6974 1.6974 1.6974
Sn 5.0921 5.0921 5.0921
Ge 0.0000 0.0000 0.0000
C 3.3947 3.3947 3.3947
```

The value obtained for the density of states at the Fermi level is 3.5 states/eV/cell. The energy of formation is 1.32 eV per atom. The calculation puts the total magnetic moment at 0.00 Bohr magnetons per cell.

Below is a relaxed structure of SnGe3C, with properties calculated at the PBE level. Values from VASP.

The structure in Quantum ESPRESSO input format:
```
&SYSTEM
  ibrav = 0, nat = 5, ntyp = 3
/
ATOMIC_SPECIES
Sn 118.71 Sn.upf
Ge 72.64 Ge.upf
C 12.01 C.upf
CELL_PARAMETERS angstrom
4.4944 0.0000 0.0000
0.0000 4.4944 0.0000
0.0000 0.0000 4.4944
ATOMIC_POSITIONS angstrom
Sn 0.0000 0.0000 0.0000
Ge 0.0000 2.2472 2.2472
Ge 2.2472 0.0000 2.2472
Ge 2.2472 2.2472 0.0000
C 2.2472 2.2472 2.2472
```

The value obtained for the density of states at the Fermi level is 3.3 states/eV/cell. The energy of formation is 0.87 eV per atom. The calculation puts the total magnetic moment at 0.00 Bohr magnetons per cell.

Below is a relaxed structure of SnGe3C, with properties calculated at the PBE level. Values from VASP.

The structure in Quantum ESPRESSO input format:
```
&SYSTEM
  ibrav = 0, nat = 5, ntyp = 3
/
ATOMIC_SPECIES
Sn 118.71 Sn.upf
Ge 72.64 Ge.upf
C 12.01 C.upf
CELL_PARAMETERS angstrom
5.3191 0.0000 0.0000
0.0000 5.3191 0.0000
0.0000 0.0000 5.3191
ATOMIC_POSITIONS angstrom
Sn 0.0000 0.0000 0.0000
Ge 0.0000 0.0000 2.6595
Ge 0.0000 2.6595 0.0000
Ge 2.6595 0.0000 0.0000
C 2.6595 2.6595 2.6595
```

The value obtained for the density of states at the Fermi level is 3.1 states/eV/cell. The energy of formation is 2.18 eV per atom. The calculation puts the total magnetic moment at 1.27 Bohr magnetons per cell.

Below is a relaxed structure of Sn2GeC, with properties calculated at the PBE level. Values from VASP.

The structure in Quantum ESPRESSO input format:
```
&SYSTEM
  ibrav = 0, nat = 8, ntyp = 3
/
ATOMIC_SPECIES
Sn 118.71 Sn.upf
Ge 72.64 Ge.upf
C 12.01 C.upf
CELL_PARAMETERS angstrom
-2.8434 2.8434 5.5056
2.8434 -2.8434 5.5056
2.8434 2.8434 -5.5056
ATOMIC_POSITIONS angstrom
Sn 4.2651 1.0791 -1.3764
Sn 1.0791 1.4217 1.3764
Sn -1.4217 1.7643 4.1292
Sn 1.7643 1.4217 6.8820
Ge 2.8434 0.0000 2.7528
Ge 0.0000 0.0000 5.5056
C 0.0000 0.0000 0.0000
C 0.0000 2.8434 2.7528
```

The value obtained for the density of states at the Fermi level is 0.0 states/eV/cell. The energy of formation is 0.55 eV per atom. The calculation puts the total magnetic moment at 0.00 Bohr magnetons per cell.

Below is a relaxed structure of Tb4SnGeC, with properties calculated at the PBE level. Values from VASP.

The structure in Quantum ESPRESSO input format:
```
&SYSTEM
  ibrav = 0, nat = 14, ntyp = 4
/
ATOMIC_SPECIES
Tb 158.93 Tb.upf
Sn 118.71 Sn.upf
Ge 72.64 Ge.upf
C 12.01 C.upf
CELL_PARAMETERS angstrom
3.3767 -7.8373 0.0000
3.3767 7.8373 0.0000
0.0000 0.0000 6.7536
ATOMIC_POSITIONS angstrom
Tb 1.6884 3.9187 0.0000
Tb 1.6884 3.9187 3.3768
Tb 3.3767 6.5458 5.0652
Tb 3.3767 1.4075 5.0652
Tb 1.6884 -3.9187 0.0000
Tb 1.6884 -3.9187 3.3768
Tb 3.3767 -1.4075 1.6884
Tb 3.3767 -6.5458 1.6884
Sn 3.3767 1.7054 1.6884
Sn 3.3767 -1.7054 5.0652
Ge 3.3767 6.0395 1.6884
Ge 3.3767 -6.0395 5.0652
C 3.3767 3.9476 5.0652
C 3.3767 -3.9476 1.6884
```

The value obtained for the density of states at the Fermi level is 1.2 states/eV/cell. The energy of formation is -0.62 eV per atom. The calculation puts the total magnetic moment at 0.00 Bohr magnetons per cell.

Below is a relaxed structure of Tm4SnGeC, with properties calculated at the PBE level. Values from VASP.

The structure in Quantum ESPRESSO input format:
```
&SYSTEM
  ibrav = 0, nat = 14, ntyp = 4
/
ATOMIC_SPECIES
Tm 168.93 Tm.upf
Sn 118.71 Sn.upf
Ge 72.64 Ge.upf
C 12.01 C.upf
CELL_PARAMETERS angstrom
3.3008 -7.6719 0.0000
3.3008 7.6719 0.0000
0.0000 0.0000 6.6025
ATOMIC_POSITIONS angstrom
Tm 1.6504 3.8360 0.0000
Tm 1.6504 3.8360 3.3013
Tm 3.3008 6.3842 4.9519
Tm 3.3008 1.4026 4.9519
Tm 1.6504 -3.8360 0.0000
Tm 1.6504 -3.8360 3.3013
Tm 3.3008 -1.4026 1.6506
Tm 3.3008 -6.3842 1.6506
Sn 3.3008 1.6544 1.6506
Sn 3.3008 -1.6544 4.9519
Ge 3.3008 5.9222 1.6506
Ge 3.3008 -5.9222 4.9519
C 3.3008 3.8668 4.9519
C 3.3008 -3.8668 1.6506
```

The value obtained for the density of states at the Fermi level is 1.4 states/eV/cell. The energy of formation is -0.67 eV per atom. The calculation puts the total magnetic moment at 0.00 Bohr magnetons per cell.

Below is a relaxed structure of Y4SnGeC, with properties calculated at the PBE level. Values from VASP.

The structure in Quantum ESPRESSO input format:
```
&SYSTEM
  ibrav = 0, nat = 14, ntyp = 4
/
ATOMIC_SPECIES
Y 88.91 Y.upf
Sn 118.71 Sn.upf
Ge 72.64 Ge.upf
C 12.01 C.upf
CELL_PARAMETERS angstrom
3.3608 -7.8074 0.0000
3.3608 7.8074 0.0000
0.0000 0.0000 6.7229
ATOMIC_POSITIONS angstrom
Y 1.6804 3.9037 0.0000
Y 1.6804 3.9037 3.3615
Y 3.3608 6.5177 5.0422
Y 3.3608 1.4030 5.0422
Y 1.6804 -3.9037 0.0000
Y 1.6804 -3.9037 3.3615
Y 3.3608 -1.4030 1.6807
Y 3.3608 -6.5177 1.6807
Sn 3.3608 1.6924 1.6807
Sn 3.3608 -1.6924 5.0422
Ge 3.3608 6.0267 1.6807
Ge 3.3608 -6.0267 5.0422
C 3.3608 3.9298 5.0422
C 3.3608 -3.9298 1.6807
```

The value obtained for the density of states at the Fermi level is 1.3 states/eV/cell. The energy of formation is -0.67 eV per atom. The calculation puts the total magnetic moment at 0.00 Bohr magnetons per cell.

Below is a relaxed structure of Sr2GeC, with properties calculated at the PBE level. Values from VASP.

The structure in Quantum ESPRESSO input format:
```
&SYSTEM
  ibrav = 0, nat = 4, ntyp = 3
/
ATOMIC_SPECIES
Sr 87.62 Sr.upf
Ge 72.64 Ge.upf
C 12.01 C.upf
CELL_PARAMETERS angstrom
0.0000 3.6565 3.6565
3.6565 0.0000 3.6565
3.6565 3.6565 0.0000
ATOMIC_POSITIONS angstrom
Sr 1.8283 1.8283 1.8283
Sr 5.4848 5.4848 5.4848
Ge 0.0000 0.0000 0.0000
C 3.6565 3.6565 3.6565
```

The value obtained for the density of states at the Fermi level is 2.8 states/eV/cell. The energy of formation is 0.64 eV per atom. The calculation puts the total magnetic moment at 0.00 Bohr magnetons per cell.

Below is a relaxed structure of SrGeC, with properties calculated at the PBE level. Values from VASP.

The structure in Quantum ESPRESSO input format:
```
&SYSTEM
  ibrav = 0, nat = 6, ntyp = 3
/
ATOMIC_SPECIES
Sr 87.62 Sr.upf
Ge 72.64 Ge.upf
C 12.01 C.upf
CELL_PARAMETERS angstrom
4.0879 0.0000 0.0000
-2.0389 3.6612 0.0000
-0.0116 -0.8637 9.1143
ATOMIC_POSITIONS angstrom
Sr 0.0000 0.0000 0.0000
Sr 0.0084 -0.0995 5.2768
Ge 0.0049 2.3893 2.1268
Ge 2.0483 1.1557 3.1192
C 2.0306 0.3362 7.6307
C 2.0561 1.2697 6.7730
```

The value obtained for the density of states at the Fermi level is 0.4 states/eV/cell. The energy of formation is -0.18 eV per atom. The calculation puts the total magnetic moment at 0.00 Bohr magnetons per cell.

Below is a relaxed structure of SrGeC, with properties calculated at the PBE level. Values from VASP.

The structure in Quantum ESPRESSO input format:
```
&SYSTEM
  ibrav = 0, nat = 6, ntyp = 3
/
ATOMIC_SPECIES
Sr 87.62 Sr.upf
Ge 72.64 Ge.upf
C 12.01 C.upf
CELL_PARAMETERS angstrom
4.8556 0.0000 0.0000
0.0000 4.1203 0.0000
-1.3931 0.0000 7.9397
ATOMIC_POSITIONS angstrom
Sr 0.0000 0.0000 0.0000
Sr -0.1786 2.0602 3.6850
Ge 1.9300 0.0000 2.4071
Ge 2.6596 2.0602 1.0085
C 2.8407 0.0000 4.1447
C 3.3861 0.0000 5.2843
```

The energy of formation is -0.07 eV per atom. The calculation puts the total magnetic moment at 0.00 Bohr magnetons per cell.

Below is a relaxed structure of Sr2GeC, with properties calculated at the PBE level. Values from VASP.

The structure in Quantum ESPRESSO input format:
```
&SYSTEM
  ibrav = 0, nat = 8, ntyp = 3
/
ATOMIC_SPECIES
Sr 87.62 Sr.upf
Ge 72.64 Ge.upf
C 12.01 C.upf
CELL_PARAMETERS angstrom
-3.9473 3.9473 3.5199
3.9473 -3.9473 3.5199
3.9473 3.9473 -3.5199
ATOMIC_POSITIONS angstrom
Sr 5.9210 1.4594 -0.8800
Sr 1.4594 1.9737 0.8800
Sr -1.9737 2.4879 2.6399
Sr 2.4879 1.9737 4.3999
Ge 3.9473 0.0000 1.7599
Ge 0.0000 0.0000 3.5199
C 0.0000 0.0000 0.0000
C 0.0000 3.9473 1.7599
```

The value obtained for the density of states at the Fermi level is 7.8 states/eV/cell. The energy of formation is 0.67 eV per atom. The calculation puts the total magnetic moment at 1.86 Bohr magnetons per cell.

Below is a relaxed structure of SrGeC, with properties calculated at the PBE level. Values from VASP.

The structure in Quantum ESPRESSO input format:
```
&SYSTEM
  ibrav = 0, nat = 6, ntyp = 3
/
ATOMIC_SPECIES
Sr 87.62 Sr.upf
Ge 72.64 Ge.upf
C 12.01 C.upf
CELL_PARAMETERS angstrom
3.6544 -2.0473 0.0000
3.6544 2.0473 0.0000
-3.1421 0.0000 9.1696
ATOMIC_POSITIONS angstrom
Sr 0.0000 0.0000 0.0000
Sr 2.3746 0.0000 5.4858
Ge -0.0160 0.0000 3.3479
Ge 4.8744 0.0000 2.3095
C -0.8351 0.0000 7.7998
C 0.1559 0.0000 7.0077
```

The value obtained for the density of states at the Fermi level is 0.7 states/eV/cell. The energy of formation is -0.19 eV per atom. The calculation puts the total magnetic moment at 0.00 Bohr magnetons per cell.